(1)
Density functional theory data (PBE) for a relaxed structure of La2TbHo.

a b c (Å): 5.806 5.806 5.806
angles (deg): 60.00 60.00 60.00
Atoms (fractional coordinates):
Tb  0.000  0.000  0.000
Ho  0.500  0.500  0.500
La  0.750  0.750  0.750
La  0.250  0.250  0.250

Computed properties:
The calculation puts the offset from the most stable computed form at 77 meV/atom. For the volume, the calculation gives 138.4 Å³/cell. Its space group is Fm-3m (225). As for the raw total energy: -18.71 eV for the cell shown.

***

(2)
Density functional theory data (PBE) for a relaxed structure of La3TbHo.

a b c (Å): 6.716 10.363 10.363
angles (deg): 82.28 78.86 78.86
Atoms (fractional coordinates):
Ho  0.063  0.668  0.530
Ho  0.437  0.470  0.332
Ho  0.937  0.332  0.470
Ho  0.563  0.530  0.668
Tb  0.750  0.191  0.809
Tb  0.250  0.065  0.935
Tb  0.250  0.809  0.191
Tb  0.750  0.935  0.065
La  0.851  0.262  0.136
La  0.351  0.136  0.262
La  0.650  0.613  0.989
La  0.850  0.011  0.387
La  0.566  0.780  0.412
La  0.934  0.588  0.220
La  0.150  0.989  0.613
La  0.434  0.220  0.588
La  0.350  0.387  0.011
La  0.649  0.864  0.738
La  0.149  0.738  0.864
La  0.066  0.412  0.780

Computed properties:
The calculation puts the offset from the most stable computed form at 0 meV/atom. For the volume, the calculation gives 690.8 Å³/cell. Its space group is C2/c (15). As for the raw total energy: -94.85 eV for the cell shown.

***

(3)
Density functional theory data (PBE) for a relaxed structure of LaTb5Ho2.

a b c (Å): 5.044 7.165 14.330
angles (deg): 90.00 90.00 90.00
Atoms (fractional coordinates):
La  0.000  0.500  0.000
La  0.000  0.000  0.500
Ho  0.500  0.750  0.374
Ho  0.500  0.250  0.126
Ho  0.500  0.250  0.626
Ho  0.500  0.750  0.874
Tb  0.000  0.500  0.500
Tb  0.500  0.752  0.126
Tb  0.500  0.748  0.626
Tb  0.500  0.248  0.874
Tb  0.000  0.999  0.752
Tb  0.000  0.001  0.248
Tb  0.000  0.499  0.748
Tb  0.000  0.000  0.000
Tb  0.500  0.252  0.374
Tb  0.000  0.501  0.252

Computed properties:
For the volume, the calculation gives 517.9 Å³/cell. Its space group is Pbam (55). As for the raw total energy: -74.12 eV for the cell shown.

***

(4)
Density functional theory data (PBE) for a relaxed structure of La5TbHo6.

a b c (Å): 6.188 7.343 9.604
angles (deg): 67.52 87.94 89.97
Atoms (fractional coordinates):
La  0.669  0.165  0.671
La  0.334  0.333  0.334
La  0.000  0.500  0.000
La  0.666  0.667  0.666
La  0.331  0.835  0.329
Ho  0.500  0.249  0.000
Ho  0.832  0.084  0.332
Ho  0.168  0.415  0.668
Ho  0.500  0.751  0.000
Ho  0.832  0.585  0.332
Ho  0.168  0.916  0.668
Tb  0.000  0.000  0.000

Computed properties:
For the volume, the calculation gives 402.9 Å³/cell. Its space group is C2/m (12). As for the raw total energy: -56.41 eV for the cell shown.

***

(5)
Density functional theory data (PBE) for a relaxed structure of LaTb3Ho3.

a b c (Å): 10.713 17.870 10.730
angles (deg): 134.46 86.85 126.83
Atoms (fractional coordinates):
Ho  0.019  0.448  0.214
Ho  0.414  0.269  0.927
Ho  0.051  0.340  0.645
Ho  0.874  0.873  0.496
Ho  0.234  0.803  0.784
Ho  0.340  0.483  0.070
Ho  0.515  0.946  0.216
Ho  0.549  0.836  0.636
Ho  0.700  0.412  0.356
Ho  0.200  0.912  0.361
Ho  0.732  0.304  0.786
Ho  0.376  0.377  0.504
La  0.837  0.982  0.072
La  0.089  0.233  0.070
La  0.911  0.766  0.929
La  0.164  0.019  0.929
Tb  0.982  0.553  0.787
Tb  0.585  0.730  0.073
Tb  0.948  0.659  0.355
Tb  0.624  0.623  0.495
Tb  0.300  0.589  0.644
Tb  0.485  0.055  0.785
Tb  0.451  0.164  0.363
Tb  0.661  0.518  0.932
Tb  0.801  0.089  0.640
Tb  0.765  0.197  0.214
Tb  0.126  0.127  0.504
Tb  0.268  0.695  0.213

Computed properties:
For the volume, the calculation gives 902.5 Å³/cell. Its space group is P1 (1). As for the raw total energy: -129.65 eV for the cell shown.

***

(6)
Density functional theory data (PBE) for a relaxed structure of La2Tb7Ho2.

a b c (Å): 8.103 10.484 8.103
angles (deg): 126.12 88.56 53.88
Atoms (fractional coordinates):
Tb  0.233  0.681  0.243
Tb  0.000  0.500  0.000
Tb  0.649  0.078  0.351
Tb  0.767  0.319  0.757
Tb  0.757  0.681  0.767
Tb  0.351  0.922  0.649
Tb  0.243  0.319  0.233
La  0.219  0.692  0.781
La  0.781  0.308  0.219
Ho  0.713  0.000  0.713
Ho  0.287  0.000  0.287

Computed properties:
The calculation puts the offset from the most stable computed form at 0 meV/atom. For the volume, the calculation gives 368.7 Å³/cell. Its space group is C2/m (12). As for the raw total energy: -49.80 eV for the cell shown.